# KMg2CdCu

Crystalline KMg2CdCu at its relaxed geometry (PBE, Alexandria via LeMat-Bulk).

Calculated values
Space-group type: P4/mmm (123)
Formation energy: 0.07 eV/atom
DOS at the Fermi energy: 0.42 states/eV/atom

Cell: 5.117 5.117 5.171 Å, 90.00 90.00 90.00°
Fractional positions:
Mg 0.000 0.500 0.000
Mg 0.500 0.000 0.000
K 0.500 0.500 0.500
Cd 0.000 0.000 0.500
Cu 0.000 0.000 0.000

=====

# KMgCd2Cu

Crystalline KMgCd2Cu at its relaxed geometry (PBE, Alexandria via LeMat-Bulk).

Calculated values
Space-group type: P4/mmm (123)
Formation energy: 0.04 eV/atom
DOS at the Fermi energy: 0.40 states/eV/atom

Cell: 5.173 5.173 5.083 Å, 90.00 90.00 90.00°
Fractional positions:
Cd 0.000 0.500 0.000
Cd 0.500 0.000 0.000
Cu 0.000 0.000 0.000
K 0.500 0.500 0.500
Mg 0.000 0.000 0.500

=====

# KNaCdCu2

Crystalline KNaCdCu2 at its relaxed geometry (PBE, Alexandria via LeMat-Bulk).

Calculated values
Space-group type: P4/mmm (123)
Formation energy: 0.51 eV/atom
DOS at the Fermi energy: 0.45 states/eV/atom

Cell: 5.102 5.964 5.102 Å, 90.00 90.00 90.00°
Fractional positions:
K 0.000 0.500 0.000
Cu 0.000 0.000 0.500
Cu 0.500 0.000 0.000
Cd 0.000 0.000 0.000
Na 0.500 0.500 0.500

=====

# KNaCd2Cu

Crystalline KNaCd2Cu at its relaxed geometry (PBE, Alexandria via LeMat-Bulk).

Calculated values
Space-group type: P4/mmm (123)
Formation energy: 0.04 eV/atom
DOS at the Fermi energy: 0.39 states/eV/atom
Relative energy among the computed polymorphs: 0.000 kcal/mol of atoms

Cell: 5.177 5.177 5.546 Å, 90.00 90.00 90.00°
Fractional positions:
Cu 0.000 0.000 0.000
K 0.500 0.500 0.500
Na 0.000 0.000 0.500
Cd 0.500 0.000 0.000
Cd 0.000 0.500 0.000

=====

# KNa2CdCu

Crystalline KNa2CdCu at its relaxed geometry (PBE, Alexandria via LeMat-Bulk).

Calculated values
Space-group type: P4/mmm (123)
Formation energy: 0.10 eV/atom
DOS at the Fermi energy: 0.50 states/eV/atom

Cell: 5.595 5.595 5.223 Å, 90.00 90.00 90.00°
Fractional positions:
Cd 0.000 0.000 0.500
Na 0.000 0.500 0.000
Na 0.500 0.000 0.000
K 0.500 0.500 0.500
Cu 0.000 0.000 0.000

=====

# KNaCd2Cu

Crystalline KNaCd2Cu at its relaxed geometry (PBE, Alexandria via LeMat-Bulk).

Calculated values
Space-group type: P4/mmm (123)
Formation energy: 0.13 eV/atom
DOS at the Fermi energy: 0.27 states/eV/atom
Relative energy among the computed polymorphs: 2.011 kcal/mol of atoms

Cell: 5.177 5.177 5.871 Å, 90.00 90.00 90.00°
Fractional positions:
Na 0.500 0.500 0.500
K 0.000 0.000 0.500
Cu 0.000 0.000 0.000
Cd 0.000 0.500 0.000
Cd 0.500 0.000 0.000

=====

# K2CdCuPb

Crystalline K2CdCuPb at its relaxed geometry (PBE, Alexandria via LeMat-Bulk).

Calculated values
Space-group type: P4/mmm (123)
Formation energy: 0.27 eV/atom
DOS at the Fermi energy: 0.93 states/eV/atom

Cell: 6.082 4.999 6.082 Å, 90.00 90.00 90.00°
Fractional positions:
K 0.500 0.000 0.000
K 0.000 0.000 0.500
Cu 0.000 0.000 0.000
Cd 0.000 0.500 0.000
Pb 0.500 0.500 0.500

=====

# KCd2CuPd

Crystalline KCd2CuPd at its relaxed geometry (PBE, Alexandria via LeMat-Bulk).

Calculated values
Space-group type: P4/mmm (123)
Formation energy: 0.02 eV/atom
DOS at the Fermi energy: 0.20 states/eV/atom

Cell: 5.269 5.269 4.983 Å, 90.00 90.00 90.00°
Fractional positions:
Cd 0.000 0.500 0.000
Cd 0.500 0.000 0.000
Pd 0.000 0.000 0.000
K 0.500 0.500 0.500
Cu 0.000 0.000 0.500

=====

# KScCdCu2

Crystalline KScCdCu2 at its relaxed geometry (PBE, Alexandria via LeMat-Bulk).

Calculated values
Space-group type: P4/mmm (123)
Formation energy: 0.89 eV/atom
DOS at the Fermi energy: 1.18 states/eV/atom

Cell: 5.005 5.532 5.005 Å, 90.00 90.00 90.00°
Fractional positions:
Cu 0.000 0.000 0.500
Cu 0.500 0.000 0.000
Sc 0.500 0.500 0.500
K 0.000 0.500 0.000
Cd 0.000 0.000 0.000

=====

# KCdCuSe2

Crystalline KCdCuSe2 at its relaxed geometry (PBE, Alexandria via LeMat-Bulk).

Calculated values
Space-group type: P2/c (13)
Raw formation energy: -669 meV per atom
DOS at the Fermi energy: 0.00 states/eV/atom

Cell: 5.454 7.391 7.369 Å, 104.52 90.00 90.00°
Fractional positions:
Se 0.717 0.233 0.557
Se 0.283 0.233 0.057
Se 0.283 0.767 0.443
Se 0.717 0.767 0.943
Cu 0.000 0.000 0.500
Cu 0.000 0.000 0.000
Cd 0.503 0.000 0.750
Cd 0.497 0.000 0.250
K 0.219 0.500 0.750
K 0.781 0.500 0.250

=====

# KCd2CuSn

Crystalline KCd2CuSn at its relaxed geometry (PBE, Alexandria via LeMat-Bulk).

Calculated values
Space-group type: P4/mmm (123)
Formation energy: 0.03 eV/atom
DOS at the Fermi energy: 0.30 states/eV/atom

Cell: 5.213 5.213 5.117 Å, 90.00 90.00 90.00°
Fractional positions:
Cd 0.000 0.500 0.000
Cd 0.500 0.000 0.000
Sn 0.000 0.000 0.500
K 0.500 0.500 0.500
Cu 0.000 0.000 0.000

=====

# KCdCuTc2

Crystalline KCdCuTc2 at its relaxed geometry (PBE, Alexandria via LeMat-Bulk).

Calculated values
Space-group type: P4/mmm (123)
Formation energy: 2.76 eV/atom
DOS at the Fermi energy: 0.77 states/eV/atom
Relative energy among the computed polymorphs: 28.505 kcal/mol of atoms

Cell: 4.615 5.285 4.615 Å, 90.00 90.00 90.00°
Fractional positions:
Tc 0.000 0.000 0.500
Tc 0.500 0.000 0.000
Cu 0.500 0.500 0.500
Cd 0.000 0.500 0.000
K 0.000 0.000 0.000

=====

| no. | final energy (eV/atom) | total moment (μB per atom) |
| --- | --- | --- |
| 1 | -1.7873 | 0.000 |
| 2 | -1.6807 | 0.000 |
| 3 | -1.7971 | 0.000 |
| 4 | -1.6304 | 0.000 |
| 5 | -1.6485 | 0.000 |
| 6 | -1.5432 | 0.000 |
| 7 | -1.9135 | 0.000 |
| 8 | -2.4262 | 0.000 |
| 9 | -2.4129 | 0.191 |
| 10 | -3.2847 | 0.000 |
| 11 | -2.1743 | 0.000 |
| 12 | -2.6066 | 0.675 |